Run i
# Na3InSn, optimized geometry, DFT GGA-PBE
# Fermi-level density of states = 9.9 states/eV per cell
# Size of the total moment = 0.00 μB per cell
data_Na3InSn
_chemical_formula_sum 'Na24 In8 Sn8'
_cell_length_a 12.517
_cell_length_b 10.712
_cell_length_c 9.295
_cell_angle_alpha 90.00
_cell_angle_beta 118.63
_cell_angle_gamma 90.00
_space_group_name_H-M_alt 'C 1 2/c 1'
_space_group_IT_number 15
loop_
_space_group_symop_operation_xyz
'x,y,z'
'-x,-y,-z'
'-x,y,-z+1/2'
'x,-y,z+1/2'
'x+1/2,y+1/2,z'
'-x+1/2,-y+1/2,-z'
'-x+1/2,y+1/2,-z+1/2'
'x+1/2,-y+1/2,z+1/2'
loop_
_atom_site_label
_atom_site_type_symbol
_atom_site_fract_x
_atom_site_fract_y
_atom_site_fract_z
_atom_site_occupancy
Na1 Na 0.091 0.125 0.145 1
Na2 Na 0.193 0.374 0.048 1
Na3 Na 0.204 0.124 0.554 1
In1 In 0.106 0.375 0.656 1
Sn1 Sn 0.000 0.138 0.750 1
Sn2 Sn 0.000 0.385 0.250 1

Run ii
# Na3InSn, optimized geometry, DFT GGA-PBE
# Fermi-level density of states = 2.0 states/eV per cell
# Size of the total moment = 0.00 μB per cell
data_Na3InSn
_chemical_formula_sum 'Na3 In1 Sn1'
_cell_length_a 5.859
_cell_length_b 5.859
_cell_length_c 5.859
_cell_angle_alpha 90.00
_cell_angle_beta 90.00
_cell_angle_gamma 90.00
_space_group_name_H-M_alt 'P m -3 m'
_space_group_IT_number 221
_space_group_name_Hall '-P 4 2 3'
loop_
_atom_site_label
_atom_site_type_symbol
_atom_site_fract_x
_atom_site_fract_y
_atom_site_fract_z
_atom_site_occupancy
Na1 Na 0.000 0.000 0.500 1
In1 In 0.500 0.500 0.500 1
Sn1 Sn 0.000 0.000 0.000 1

Least stable: run ii

Run i
# Na3In2Sn4, optimized geometry, DFT GGA-PBE
# Fermi-level density of states = 10.9 states/eV per cell
# Size of the total moment = 0.00 μB per cell
data_Na3In2Sn4
_chemical_formula_sum 'Na12 In8 Sn16'
_cell_length_a 15.971
_cell_length_b 9.187
_cell_length_c 6.580
_cell_angle_alpha 90.00
_cell_angle_beta 90.01
_cell_angle_gamma 90.00
_space_group_name_H-M_alt 'C 1 2/c 1'
_space_group_IT_number 15
loop_
_space_group_symop_operation_xyz
'x,y,z'
'-x,-y,-z'
'-x,y,-z+1/2'
'x,-y,z+1/2'
'x+1/2,y+1/2,z'
'-x+1/2,-y+1/2,-z'
'-x+1/2,y+1/2,-z+1/2'
'x+1/2,-y+1/2,z+1/2'
loop_
_atom_site_label
_atom_site_type_symbol
_atom_site_fract_x
_atom_site_fract_y
_atom_site_fract_z
_atom_site_occupancy
Na1 Na 0.000 0.000 0.250 1
Na2 Na 0.166 0.500 0.250 1
In1 In 0.167 0.168 0.001 1
Sn1 Sn 0.000 0.334 0.000 1
Sn2 Sn 0.167 0.166 0.501 1

Run ii
# Na3In2Sn4, optimized geometry, DFT GGA-PBE
# Fermi-level density of states = 3.5 states/eV per cell
# Size of the total moment = 0.00 μB per cell
data_Na3In2Sn4
_chemical_formula_sum 'Na3 In2 Sn4'
_cell_length_a 5.601
_cell_length_b 5.873
_cell_length_c 8.835
_cell_angle_alpha 93.97
_cell_angle_beta 103.23
_cell_angle_gamma 118.14
_space_group_name_H-M_alt 'P -1'
_space_group_IT_number 2
loop_
_space_group_symop_operation_xyz
'x,y,z'
'-x,-y,-z'
loop_
_atom_site_label
_atom_site_type_symbol
_atom_site_fract_x
_atom_site_fract_y
_atom_site_fract_z
_atom_site_occupancy
Na1 Na 0.000 0.000 0.000 1
Na2 Na 0.420 0.884 0.672 1
In1 In 0.096 0.227 0.665 1
Sn1 Sn 0.251 0.456 0.335 1
Sn2 Sn 0.322 0.642 0.006 1

Least stable: run ii

Run i
# NaIn4Sn2, optimized geometry, DFT GGA-PBE
# Fermi-level density of states = 3.6 states/eV per cell
# Size of the total moment = 0.00 μB per cell
data_NaIn4Sn2
_chemical_formula_sum 'Na2 In8 Sn4'
_cell_length_a 5.419
_cell_length_b 22.010
_cell_length_c 3.195
_cell_angle_alpha 90.00
_cell_angle_beta 90.00
_cell_angle_gamma 90.00
_space_group_name_H-M_alt 'C m m m'
_space_group_IT_number 65
_space_group_name_Hall '-C 2 2'
loop_
_atom_site_label
_atom_site_type_symbol
_atom_site_fract_x
_atom_site_fract_y
_atom_site_fract_z
_atom_site_occupancy
Na1 Na 0.000 0.000 0.000 1
In1 In 0.000 0.144 0.500 1
In2 In 0.000 0.288 0.000 1
Sn1 Sn 0.000 0.430 0.500 1

Run ii
# NaIn4Sn2, optimized geometry, DFT GGA-PBE
# Fermi-level density of states = 6.1 states/eV per cell
# Size of the total moment = 0.00 μB per cell
data_NaIn4Sn2
_chemical_formula_sum 'Na2 In8 Sn4'
_cell_length_a 5.443
_cell_length_b 16.531
_cell_length_c 4.755
_cell_angle_alpha 90.00
_cell_angle_beta 90.00
_cell_angle_gamma 90.00
_space_group_name_H-M_alt 'C m m m'
_space_group_IT_number 65
_space_group_name_Hall '-C 2 2'
loop_
_atom_site_label
_atom_site_type_symbol
_atom_site_fract_x
_atom_site_fract_y
_atom_site_fract_z
_atom_site_occupancy
Na1 Na 0.000 0.000 0.000 1
In1 In 0.000 0.175 0.500 1
In2 In 0.000 0.300 0.000 1
Sn1 Sn 0.000 0.412 0.500 1

Least stable: run ii

Run i
# NaIn6Sn2, optimized geometry, DFT GGA-PBE
# Fermi-level density of states = 1.9 states/eV per cell
# Size of the total moment = 0.00 μB per cell
data_NaIn6Sn2
_chemical_formula_sum 'Na1 In6 Sn2'
_cell_length_a 5.3754
_cell_length_b 5.3754
_cell_length_c 9.8173
_cell_angle_alpha 90.00
_cell_angle_beta 90.00
_cell_angle_gamma 120.00
_space_group_name_H-M_alt 'P -3 m 1'
_space_group_IT_number 164
_space_group_name_Hall '-P 3 2"'
loop_
_atom_site_label
_atom_site_type_symbol
_atom_site_fract_x
_atom_site_fract_y
_atom_site_fract_z
_atom_site_occupancy
Na1 Na 0.0000 0.0000 0.0000 1
In1 In 0.0000 0.0000 0.3380 1
In2 In 0.3333 0.6667 0.4944 1
In3 In 0.3333 0.6667 0.8403 1
Sn1 Sn 0.3333 0.6667 0.1761 1

Run ii
# NaIn6Sn2, optimized geometry, DFT GGA-PBE
# Fermi-level density of states = 3.8 states/eV per cell
# Size of the total moment = 0.00 μB per cell
data_NaIn6Sn2
_chemical_formula_sum 'Na1 In6 Sn2'
_cell_length_a 5.5633
_cell_length_b 5.5633
_cell_length_c 11.0168
_cell_angle_alpha 90.00
_cell_angle_beta 90.00
_cell_angle_gamma 120.00
_space_group_name_H-M_alt 'P -3 1 m'
_space_group_IT_number 162
_space_group_name_Hall '-P 3 2'
loop_
_atom_site_label
_atom_site_type_symbol
_atom_site_fract_x
_atom_site_fract_y
_atom_site_fract_z
_atom_site_occupancy
Na1 Na 0.0000 0.0000 0.0000 1
In1 In 0.0000 0.3323 0.7493 1
Sn1 Sn 0.3333 0.6667 0.5000 1

Least stable: run ii

Run i
# Na3In3Sn, optimized geometry, DFT GGA-PBE
# Fermi-level density of states = 10.6 states/eV per cell
# Size of the total moment = 0.00 μB per cell
data_Na3In3Sn
_chemical_formula_sum 'Na12 In12 Sn4'
_cell_length_a 9.204
_cell_length_b 14.121
_cell_length_c 7.365
_cell_angle_alpha 90.00
_cell_angle_beta 113.30
_cell_angle_gamma 90.00
_space_group_name_H-M_alt 'C 1 2/m 1'
_space_group_IT_number 12
loop_
_space_group_symop_operation_xyz
'x,y,z'
'-x,-y,-z'
'-x,y,-z'
'x,-y,z'
'x+1/2,y+1/2,z'
'-x+1/2,-y+1/2,-z'
'-x+1/2,y+1/2,-z'
'x+1/2,-y+1/2,z'
loop_
_atom_site_label
_atom_site_type_symbol
_atom_site_fract_x
_atom_site_fract_y
_atom_site_fract_z
_atom_site_occupancy
Na1 Na 0.000 0.125 0.000 1
Na2 Na 0.000 0.256 0.500 1
Na3 Na 0.029 0.500 0.783 1
In1 In 0.178 0.319 0.094 1
In2 In 0.211 0.000 0.388 1
Sn1 Sn 0.147 0.000 0.753 1

Run ii
# Na3In3Sn, optimized geometry, DFT GGA-PBE
# Fermi-level density of states = 21.6 states/eV per cell
# Size of the total moment = 0.00 μB per cell
data_Na3In3Sn
_chemical_formula_sum 'Na18 In18 Sn6'
_cell_length_a 8.1877
_cell_length_b 8.1877
_cell_length_c 20.7919
_cell_angle_alpha 90.00
_cell_angle_beta 90.00
_cell_angle_gamma 120.00
_space_group_name_H-M_alt 'R -3'
_space_group_IT_number 148
_space_group_name_Hall '-R 3'
loop_
_atom_site_label
_atom_site_type_symbol
_atom_site_fract_x
_atom_site_fract_y
_atom_site_fract_z
_atom_site_occupancy
Na1 Na 0.0491 0.6071 0.3839 1
In1 In 0.0258 0.7798 0.5575 1
Sn1 Sn 0.0000 0.0000 0.1534 1

Least stable: run i

Run i
# Na3In4Sn2, optimized geometry, DFT GGA-PBE
# Fermi-level density of states = 6.5 states/eV per cell
# Size of the total moment = 0.00 μB per cell
data_Na3In4Sn2
_chemical_formula_sum 'Na6 In8 Sn4'
_cell_length_a 11.282
_cell_length_b 5.104
_cell_length_c 9.887
_cell_angle_alpha 90.00
_cell_angle_beta 120.30
_cell_angle_gamma 90.00
_space_group_name_H-M_alt 'C 1 2/m 1'
_space_group_IT_number 12
loop_
_space_group_symop_operation_xyz
'x,y,z'
'-x,-y,-z'
'-x,y,-z'
'x,-y,z'
'x+1/2,y+1/2,z'
'-x+1/2,-y+1/2,-z'
'-x+1/2,y+1/2,-z'
'x+1/2,-y+1/2,z'
loop_
_atom_site_label
_atom_site_type_symbol
_atom_site_fract_x
_atom_site_fract_y
_atom_site_fract_z
_atom_site_occupancy
Na1 Na 0.000 0.000 0.000 1
Na2 Na 0.163 0.500 0.678 1
In1 In 0.095 0.000 0.430 1
In2 In 0.192 0.500 0.022 1
Sn1 Sn 0.108 0.500 0.269 1

Run ii
# Na3In4Sn2, optimized geometry, DFT GGA-PBE
# Fermi-level density of states = 18.6 states/eV per cell
# Size of the total moment = 0.00 μB per cell
data_Na3In4Sn2
_chemical_formula_sum 'Na12 In16 Sn8'
_cell_length_a 16.336
_cell_length_b 9.130
_cell_length_c 6.466
_cell_angle_alpha 90.00
_cell_angle_beta 90.00
_cell_angle_gamma 90.00
_space_group_name_H-M_alt 'C 1 2/c 1'
_space_group_IT_number 15
loop_
_space_group_symop_operation_xyz
'x,y,z'
'-x,-y,-z'
'-x,y,-z+1/2'
'x,-y,z+1/2'
'x+1/2,y+1/2,z'
'-x+1/2,-y+1/2,-z'
'-x+1/2,y+1/2,-z+1/2'
'x+1/2,-y+1/2,z+1/2'
loop_
_atom_site_label
_atom_site_type_symbol
_atom_site_fract_x
_atom_site_fract_y
_atom_site_fract_z
_atom_site_occupancy
Na1 Na 0.000 0.000 0.250 1
Na2 Na 0.168 0.500 0.250 1
In1 In 0.001 0.333 0.000 1
In2 In 0.166 0.167 0.001 1
Sn1 Sn 0.165 0.172 0.501 1

Least stable: run ii